Arrangement 1

Material: YScCo2
Method: DFT, PBE
State: relaxed

a = 3.3048 Å, b = 4.1424 Å, c = 10.7705 Å
α = 90.00°, β = 90.00°, γ = 90.00°
Space group Imm2 (No. 44)
Unique sites:
Y 0.0000 0.0000 0.0000 (multiplicity 2)
Sc 0.0000 0.5000 0.2257 (multiplicity 2)
Co 0.0000 0.0000 0.4149 (multiplicity 2)
Co 0.0000 0.5000 0.7653 (multiplicity 2)

Computed properties:
Its volume is 18.4 Å³/atom. The crystal system is orthorhombic. The value obtained for the density is 5.67 g/cm³. For the total moment, the calculation gives 2.58 Bohr magnetons per cell.


Arrangement 2

Material: YScCo2
Method: DFT, PBE
State: relaxed

a = 3.1289 Å, b = 3.1289 Å, c = 7.6288 Å
α = 90.00°, β = 90.00°, γ = 90.00°
Space group P4mm (No. 99)
Unique sites:
Y 0.0000 0.0000 0.0000 (multiplicity 1)
Sc 0.5000 0.5000 0.6145 (multiplicity 1)
Co 0.0000 0.0000 0.3990 (multiplicity 1)
Co 0.5000 0.5000 0.2550 (multiplicity 1)

Computed properties:
Its volume is 18.7 Å³/atom. The crystal system is tetragonal. The value obtained for the density is 5.60 g/cm³. For the total moment, the calculation gives 2.63 Bohr magnetons per cell.


Arrangement 3

Material: YScCo2
Method: DFT, PBE
State: relaxed

a = 3.5294 Å, b = 3.5294 Å, c = 5.8295 Å
α = 90.00°, β = 90.00°, γ = 90.00°
Space group P4mm (No. 99)
Unique sites:
Y 0.0000 0.0000 0.0000 (multiplicity 1)
Sc 0.5000 0.5000 0.6076 (multiplicity 1)
Co 0.0000 0.0000 0.4739 (multiplicity 1)
Co 0.5000 0.5000 0.1864 (multiplicity 1)

Computed properties:
Its volume is 18.2 Å³/atom. The crystal system is tetragonal. The value obtained for the density is 5.76 g/cm³. For the total moment, the calculation gives 0.02 Bohr magnetons per cell.


Arrangement 4

Material: YScCo2
Method: DFT, PBE
State: relaxed

a = 4.5753 Å, b = 4.5753 Å, c = 3.2578 Å
α = 90.00°, β = 90.00°, γ = 90.00°
Space group P4/mmm (No. 123)
Unique sites:
Y 0.0000 0.0000 0.0000 (multiplicity 1)
Sc 0.5000 0.5000 0.0000 (multiplicity 1)
Co 0.0000 0.5000 0.5000 (multiplicity 2)

Computed properties:
Its volume is 17.0 Å³/atom. The crystal system is tetragonal. The value obtained for the density is 6.13 g/cm³. For the total moment, the calculation gives 0.61 Bohr magnetons per cell.


Which of them is most stable, and which least? Most stable: arrangement 4; least stable: arrangement 3.


Arrangement 1

Material: YScCo2
Method: DFT, PBE
State: relaxed

a = 3.3740 Å, b = 3.3740 Å, c = 22.3716 Å
α = 90.00°, β = 90.00°, γ = 120.00°
Space group R-3m (No. 166, hexagonal axes)
Unique sites:
Y 0.0000 0.0000 0.0000 (multiplicity 3)
Sc 0.0000 0.0000 0.5000 (multiplicity 3)
Co 0.0000 0.0000 0.2454 (multiplicity 6)

Computed properties:
Its volume is 18.4 Å³/atom. The crystal system is trigonal. The value obtained for the density is 5.69 g/cm³. For the total moment, the calculation gives 3.68 Bohr magnetons per cell.


Arrangement 2

Material: YScCo2
Method: DFT, PBE
State: relaxed

a = 6.4366 Å, b = 6.4366 Å, c = 6.4366 Å
α = 90.00°, β = 90.00°, γ = 90.00°
Space group F-43m (No. 216)
Unique sites:
Y 0.0000 0.0000 0.0000 (multiplicity 4)
Sc 0.2500 0.2500 0.7500 (multiplicity 4)
Co 0.0000 0.0000 0.5000 (multiplicity 4)
Co 0.2500 0.2500 0.2500 (multiplicity 4)

Computed properties:
Its volume is 16.7 Å³/atom. The crystal system is cubic. The value obtained for the density is 6.27 g/cm³. For the total moment, the calculation gives 9.09 Bohr magnetons per cell.


Arrangement 3

Material: YScCo2
Method: DFT, PBE
State: relaxed

a = 6.4827 Å, b = 6.4827 Å, c = 6.4827 Å
α = 90.00°, β = 90.00°, γ = 90.00°
Space group Fm-3m (No. 225)
Unique sites:
Y 0.0000 0.0000 0.0000 (multiplicity 4)
Sc 0.0000 0.0000 0.5000 (multiplicity 4)
Co 0.2500 0.2500 0.2500 (multiplicity 8)

Computed properties:
Its volume is 17.0 Å³/atom. The crystal system is cubic. The value obtained for the density is 6.14 g/cm³. For the total moment, the calculation gives 1.14 Bohr magnetons per cell.


Which of them is most stable, and which least? Most stable: arrangement 3; least stable: arrangement 2.


Arrangement 1

Material: YScCo2
Method: DFT, PBE
State: relaxed

a = 4.6200 Å, b = 4.6200 Å, c = 16.0184 Å
α = 90.00°, β = 90.00°, γ = 90.00°
Space group I-42d (No. 122)
Unique sites:
Y 0.0000 0.0000 0.0000 (multiplicity 4)
Sc 0.0000 0.0000 0.5000 (multiplicity 4)
Co 0.0018 0.7500 0.6250 (multiplicity 8)

Computed properties:
Its volume is 21.4 Å³/atom. The crystal system is tetragonal. The value obtained for the density is 4.89 g/cm³. For the total moment, the calculation gives 3.86 Bohr magnetons per cell.


Arrangement 2

Material: YScCo2
Method: DFT, PBE
State: relaxed

a = 3.8530 Å, b = 3.8530 Å, c = 19.3211 Å
α = 90.00°, β = 90.00°, γ = 120.00°
Space group R3m (No. 160, hexagonal axes)
Unique sites:
Y 0.0000 0.0000 0.0000 (multiplicity 3)
Sc 0.0000 0.0000 0.8231 (multiplicity 3)
Co 0.0000 0.0000 0.2363 (multiplicity 3)
Co 0.0000 0.0000 0.5715 (multiplicity 3)

Computed properties:
Its volume is 20.7 Å³/atom. The crystal system is trigonal. The value obtained for the density is 5.05 g/cm³. For the total moment, the calculation gives 0.71 Bohr magnetons per cell.


Arrangement 3

Material: YScCo2
Method: DFT, PBE
State: relaxed

a = 3.2199 Å, b = 3.2544 Å, c = 6.4872 Å
α = 90.00°, β = 90.00°, γ = 90.00°
Space group Pmmm (No. 47)
Unique sites:
Y 0.0000 0.0000 0.0000 (multiplicity 1)
Sc 0.0000 0.0000 0.5000 (multiplicity 1)
Co 0.5000 0.5000 0.2721 (multiplicity 2)

Computed properties:
Its volume is 17.0 Å³/atom. The crystal system is orthorhombic. The value obtained for the density is 6.15 g/cm³. For the total moment, the calculation gives 0.52 Bohr magnetons per cell.


Which of them is most stable, and which least? Most stable: arrangement 3; least stable: arrangement 1.


Arrangement 1

Material: YSc2Co2
Method: DFT, PBE
State: relaxed

a = 7.7306 Å, b = 7.7306 Å, c = 3.0070 Å
α = 90.00°, β = 90.00°, γ = 90.00°
Space group P4/mbm (No. 127)
Unique sites:
Y 0.0000 0.0000 0.0000 (multiplicity 2)
Sc 0.1330 0.3670 0.0000 (multiplicity 4)
Co 0.1616 0.6616 0.5000 (multiplicity 4)

Computed properties:
Its volume is 18.0 Å³/atom. The crystal system is tetragonal. The value obtained for the density is 5.48 g/cm³. For the total moment, the calculation gives 0.16 Bohr magnetons per cell.


Arrangement 2

Material: YSc2Co2
Method: DFT, PBE
State: relaxed

a = 4.5769 Å, b = 4.5769 Å, c = 9.6171 Å
α = 90.00°, β = 90.00°, γ = 90.00°
Space group I4/mmm (No. 139)
Unique sites:
Y 0.0000 0.0000 0.0000 (multiplicity 2)
Sc 0.0000 0.0000 0.3405 (multiplicity 4)
Co 0.0000 0.5000 0.2500 (multiplicity 4)

Computed properties:
Its volume is 20.1 Å³/atom. The crystal system is tetragonal. The value obtained for the density is 4.89 g/cm³. For the total moment, the calculation gives 0.01 Bohr magnetons per cell.


Which of them is most stable, and which least? Most stable: arrangement 1; least stable: arrangement 2.


Arrangement 1

Material: YSc4Co
Method: DFT, PBE
State: relaxed

a = 8.3208 Å, b = 8.3208 Å, c = 8.3208 Å
α = 90.00°, β = 90.00°, γ = 90.00°
Space group F-43m (No. 216)
Unique sites:
Y 0.0000 0.0000 0.0000 (multiplicity 4)
Sc 0.1243 0.1243 0.3757 (multiplicity 16)
Co 0.2500 0.2500 0.7500 (multiplicity 4)

Computed properties:
Its volume is 24.0 Å³/atom. The crystal system is cubic. The value obtained for the density is 3.78 g/cm³. For the total moment, the calculation gives 8.77 Bohr magnetons per cell.


Arrangement 2

Material: YSc4Co
Method: DFT, PBE
State: relaxed

a = 5.5849 Å, b = 6.0358 Å, c = 9.0360 Å
α = 70.54°, β = 82.79°, γ = 89.99°
Space group P-1 (No. 2)
Unique sites:
Y 0.2500 0.1739 0.9999 (multiplicity 2)
Sc 0.1678 0.9325 0.3807 (multiplicity 2)
Sc 0.2141 0.5272 0.2239 (multiplicity 2)
Sc 0.2858 0.7512 0.7760 (multiplicity 2)
Sc 0.3322 0.3132 0.6191 (multiplicity 2)
Co 0.0000 0.5000 0.5000 (multiplicity 1)
Co 0.5000 0.0000 0.5000 (multiplicity 1)

Computed properties:
Its volume is 23.7 Å³/atom. The crystal system is triclinic. The value obtained for the density is 3.82 g/cm³. For the total moment, the calculation gives 0.01 Bohr magnetons per cell.


Which of them is most stable, and which least? Most stable: arrangement 2; least stable: arrangement 1.


Arrangement 1

Material: Y3ScCo
Method: DFT, PBE
State: relaxed

a = 5.2365 Å, b = 5.2365 Å, c = 5.2365 Å
α = 90.00°, β = 90.00°, γ = 90.00°
Space group Pm-3m (No. 221)
Unique sites:
Y 0.0000 0.0000 0.5000 (multiplicity 3)
Sc 0.5000 0.5000 0.5000 (multiplicity 1)
Co 0.0000 0.0000 0.0000 (multiplicity 1)

Computed properties:
Its volume is 28.7 Å³/atom. The crystal system is cubic. The value obtained for the density is 4.29 g/cm³. For the total moment, the calculation gives 0.00 Bohr magnetons per cell.


Arrangement 2

Material: Y3ScCo
Method: DFT, PBE
State: relaxed

a = 5.3880 Å, b = 5.3880 Å, c = 5.3880 Å
α = 90.00°, β = 90.00°, γ = 90.00°
Space group Pm-3m (No. 221)
Unique sites:
Y 0.0000 0.0000 0.5000 (multiplicity 3)
Sc 0.0000 0.0000 0.0000 (multiplicity 1)
Co 0.5000 0.5000 0.5000 (multiplicity 1)

Computed properties:
Its volume is 31.3 Å³/atom. The crystal system is cubic. The value obtained for the density is 3.93 g/cm³. For the total moment, the calculation gives 2.05 Bohr magnetons per cell.


Which of them is most stable, and which least? Most stable: arrangement 1; least stable: arrangement 2.


Arrangement 1

Material: ScZnCo3
Method: DFT, PBE
State: relaxed

a = 4.3336 Å, b = 4.3336 Å, c = 4.3336 Å
α = 90.00°, β = 90.00°, γ = 90.00°
Space group Pm-3m (No. 221)
Unique sites:
Sc 0.0000 0.0000 0.0000 (multiplicity 1)
Zn 0.5000 0.5000 0.5000 (multiplicity 1)
Co 0.0000 0.5000 0.5000 (multiplicity 3)

Computed properties:
Its volume is 16.3 Å³/atom. The crystal system is cubic. The value obtained for the density is 5.86 g/cm³. For the total moment, the calculation gives 2.22 Bohr magnetons per cell.


Arrangement 2

Material: ScZnCo3
Method: DFT, PBE
State: relaxed

a = 4.3754 Å, b = 4.3754 Å, c = 4.3754 Å
α = 90.00°, β = 90.00°, γ = 90.00°
Space group Pm-3m (No. 221)
Unique sites:
Sc 0.0000 0.0000 0.0000 (multiplicity 1)
Zn 0.5000 0.5000 0.5000 (multiplicity 1)
Co 0.0000 0.0000 0.5000 (multiplicity 3)

Computed properties:
Its volume is 16.8 Å³/atom. The crystal system is cubic. The value obtained for the density is 5.69 g/cm³. For the total moment, the calculation gives 2.08 Bohr magnetons per cell.


Which of them is most stable, and which least? Most stable: arrangement 1; least stable: arrangement 2.


Arrangement 1

Material: ScZn4Co
Method: DFT, PBE
State: relaxed

a = 7.5456 Å, b = 3.8169 Å, c = 6.4700 Å
α = 90.00°, β = 90.00°, γ = 90.00°
Space group Pmma (No. 51)
Unique sites:
Sc 0.2500 0.0000 0.1013 (multiplicity 2)
Zn 0.0000 0.0000 0.5000 (multiplicity 2)
Zn 0.0539 0.5000 0.8111 (multiplicity 4)
Zn 0.2500 0.5000 0.4489 (multiplicity 2)
Co 0.2500 0.0000 0.7220 (multiplicity 2)

Computed properties:
Its volume is 15.5 Å³/atom. The crystal system is orthorhombic. The value obtained for the density is 6.51 g/cm³. For the total moment, the calculation gives 0.00 Bohr magnetons per cell.


Arrangement 2

Material: ScZn4Co
Method: DFT, PBE
State: relaxed

a = 7.0493 Å, b = 7.0493 Å, c = 7.0493 Å
α = 90.00°, β = 90.00°, γ = 90.00°
Space group F-43m (No. 216)
Unique sites:
Sc 0.0000 0.0000 0.0000 (multiplicity 4)
Zn 0.1242 0.1242 0.3758 (multiplicity 16)
Co 0.2500 0.2500 0.7500 (multiplicity 4)

Computed properties:
Its volume is 14.6 Å³/atom. The crystal system is cubic. The value obtained for the density is 6.93 g/cm³. For the total moment, the calculation gives 0.00 Bohr magnetons per cell.


Which of them is most stable, and which least? Most stable: arrangement 1; least stable: arrangement 2.


Arrangement 1

Material: ZrScZnCo
Method: DFT, PBE
State: relaxed

a = 6.5001 Å, b = 6.5001 Å, c = 6.5001 Å
α = 90.00°, β = 90.00°, γ = 90.00°
Space group F-43m (No. 216)
Unique sites:
Zr 0.0000 0.0000 0.0000 (multiplicity 4)
Sc 0.0000 0.0000 0.5000 (multiplicity 4)
Zn 0.2500 0.2500 0.2500 (multiplicity 4)
Co 0.2500 0.2500 0.7500 (multiplicity 4)

Computed properties:
Its volume is 17.2 Å³/atom. The crystal system is cubic. The value obtained for the density is 6.30 g/cm³. For the total moment, the calculation gives 0.96 Bohr magnetons per cell.


Arrangement 2

Material: ZrScZnCo
Method: DFT, PBE
State: relaxed

a = 3.2243 Å, b = 3.2243 Å, c = 6.6320 Å
α = 90.00°, β = 90.00°, γ = 90.00°
Space group P4mm (No. 99)
Unique sites:
Zr 0.0000 0.0000 0.0000 (multiplicity 1)
Sc 0.0000 0.0000 0.4662 (multiplicity 1)
Zn 0.5000 0.5000 0.7292 (multiplicity 1)
Co 0.5000 0.5000 0.2241 (multiplicity 1)

Computed properties:
Its volume is 17.2 Å³/atom. The crystal system is tetragonal. The value obtained for the density is 6.27 g/cm³. For the total moment, the calculation gives 0.00 Bohr magnetons per cell.


Which of them is most stable, and which least? Most stable: arrangement 2; least stable: arrangement 1.


Arrangement 1

Material: ZrScCo
Method: DFT, PBE
State: relaxed

a = 3.3598 Å, b = 10.9739 Å, c = 6.2366 Å
α = 90.00°, β = 90.00°, γ = 90.00°
Space group Cmc2_1 (No. 36)
Unique sites:
Zr 0.0000 0.0159 0.0000 (multiplicity 4)
Sc 0.0000 0.2897 0.2025 (multiplicity 4)
Co 0.0000 0.3885 0.7717 (multiplicity 4)

Computed properties:
Its volume is 19.2 Å³/atom. The crystal system is orthorhombic. The value obtained for the density is 5.64 g/cm³. For the total moment, the calculation gives 0.00 Bohr magnetons per cell.


Arrangement 2

Material: ZrScCo
Method: DFT, PBE
State: relaxed

a = 11.1595 Å, b = 3.3161 Å, c = 6.1448 Å
α = 90.00°, β = 90.89°, γ = 90.00°
Space group Cm (No. 8)
Unique sites:
Zr 0.0000 0.0000 0.0000 (multiplicity 2)
Zr 0.1843 0.5000 0.6946 (multiplicity 2)
Sc 0.2657 0.0000 0.1851 (multiplicity 2)
Sc 0.4589 0.5000 0.5030 (multiplicity 2)
Co 0.0998 0.5000 0.2749 (multiplicity 2)
Co 0.3601 0.0000 0.7798 (multiplicity 2)

Computed properties:
Its volume is 18.9 Å³/atom. The crystal system is monoclinic. The value obtained for the density is 5.70 g/cm³. For the total moment, the calculation gives 0.00 Bohr magnetons per cell.


Arrangement 3

Material: ZrScCo
Method: DFT, PBE
State: relaxed

a = 4.8714 Å, b = 4.2082 Å, c = 5.9452 Å
α = 90.00°, β = 105.95°, γ = 90.00°
Space group P2_1/m (No. 11)
Unique sites:
Zr 0.0823 0.2500 0.2940 (multiplicity 2)
Sc 0.4608 0.2500 0.8126 (multiplicity 2)
Co 0.3506 0.7500 0.5551 (multiplicity 2)

Computed properties:
Its volume is 19.5 Å³/atom. The crystal system is monoclinic. The value obtained for the density is 5.53 g/cm³. For the total moment, the calculation gives 0.00 Bohr magnetons per cell.


Which of them is most stable, and which least? Most stable: arrangement 1; least stable: arrangement 3.